Entry 1:
NaLaHo2S4 (PBE, relaxed); space-group type = P2/m; energy = -47.5 eV per formula unit; formation energy without anion corrections = -1.952 eV per atom
1.0
-3.5966 -0.6123 -1.5272
0.9768 -6.9413 0.4828
-2.2431 -2.1406 6.1408
S Ho La Na
4 2 1 1
direct
0.5000 0.7676 0.2457
0.0000 0.2327 0.2602
0.0000 0.7673 0.7398
0.5000 0.2324 0.7543
0.5000 0.0000 0.5000
0.0000 0.0000 0.0000
0.5000 0.5000 0.0000
0.0000 0.5000 0.5000

Entry 2:
Na2LaHoS4 (PBE, relaxed); space-group type = P2/m; energy = -43.4 eV per formula unit; formation energy without anion corrections = -1.843 eV per atom
1.0
4.0979 0.0000 0.0000
0.0000 7.1067 0.1222
0.0000 -2.4808 6.6280
Na S Ho La
2 4 1 1
direct
0.0000 0.5000 0.5000
0.5000 0.0000 0.5000
0.5000 0.2566 0.2320
0.5000 0.7434 0.7680
0.0000 0.7313 0.2273
0.0000 0.2687 0.7727
0.5000 0.5000 0.0000
0.0000 0.0000 0.0000

Entry 3:
Na3La2HoS6 (PBE, relaxed); space-group type = C2/m; energy = -65.3 eV per formula unit; formation energy without anion corrections = -1.849 eV per atom
1.0
7.1786 -0.0020 0.0005
-3.5893 6.2168 0.0005
-1.1976 -2.0736 6.6650
S Na La Ho
6 3 2 1
direct
0.3975 0.0772 0.2318
0.0772 0.3975 0.2318
0.9228 0.6025 0.7682
0.6025 0.9228 0.7682
0.2438 0.2438 0.7708
0.7562 0.7562 0.2292
0.1648 0.8352 0.5000
0.5000 0.5000 0.5000
0.8352 0.1648 0.5000
0.3332 0.6668 0.0000
0.6668 0.3332 0.0000
0.0000 0.0000 0.0000

Entry 4:
NaLaHo4S8 (PBE, relaxed); space-group type = R3m; energy = -85.0 eV per formula unit; formation energy without anion corrections = -1.961 eV per atom
1.0
-1.5543 -6.8124 4.0434
4.1451 -6.7224 -1.6735
5.5058 -2.8080 5.4447
S Ho La Na
8 4 1 1
direct
0.7828 0.2461 0.7251
0.2310 0.7500 0.2691
0.7500 0.2310 0.2691
0.2380 0.2380 0.2860
0.2461 0.2461 0.7251
0.2461 0.7828 0.7251
0.7579 0.7579 0.7264
0.7500 0.7500 0.2691
0.0047 0.4866 0.5041
0.0047 0.0047 0.5041
0.6262 0.6262 0.1214
0.4866 0.0047 0.5041
0.0033 0.0033 0.9900
0.3729 0.3729 0.8814

Entry 5:
Na3LaHo2S6 (PBE, relaxed); space-group type = C2/m; energy = -65.0 eV per formula unit; formation energy without anion corrections = -1.847 eV per atom
1.0
-3.9473 -4.9949 2.9738
0.7896 0.1644 -6.9802
6.4193 -2.3204 1.8521
S Na La Ho
6 3 1 2
direct
0.0760 0.4224 0.2275
0.9240 0.5776 0.7725
0.2700 0.2700 0.7707
0.7300 0.7300 0.2293
0.5776 0.9240 0.7725
0.4224 0.0760 0.2275
0.5000 0.5000 0.5000
0.1667 0.8333 0.5000
0.8333 0.1667 0.5000
0.0000 0.0000 0.0000
0.6668 0.3332 0.0000
0.3332 0.6668 0.0000

Entry 6:
NaLa2Ho3Se6 (PBE, relaxed); space-group type = C2/m; energy = -67.6 eV per formula unit; formation energy without anion corrections = -1.816 eV per atom
1.0
4.1319 0.0000 0.0000
0.0000 8.4308 0.2234
-2.0660 -2.5111 8.7986
Se Ho La Na
6 3 2 1
direct
0.3394 0.4070 0.6788
0.6686 0.0684 0.3372
0.6606 0.5930 0.3212
0.9962 0.2565 0.9923
0.3314 0.9316 0.6628
0.0038 0.7435 0.0077
0.5000 0.5000 0.0000
0.8334 0.1737 0.6668
0.1666 0.8263 0.3332
0.8314 0.6620 0.6627
0.1686 0.3380 0.3373
0.5000 0.0000 0.0000

Entry 7:
Na2LaHoSe4 (PBE, relaxed); space-group type = P2/m; energy = -39.9 eV per formula unit; formation energy without anion corrections = -1.721 eV per atom
1.0
4.2554 0.0000 0.0000
0.0000 7.3752 0.1274
0.0000 -2.5751 6.9465
Se Na La Ho
4 2 1 1
direct
0.0000 0.7325 0.2302
0.5000 0.2569 0.2352
0.5000 0.7431 0.7648
0.0000 0.2675 0.7698
0.5000 0.0000 0.5000
0.0000 0.5000 0.5000
0.0000 0.0000 0.0000
0.5000 0.5000 0.0000

Entry 8:
NaLaHo4Se8 (PBE, relaxed); space-group type = R3m; energy = -77.3 eV per formula unit; formation energy without anion corrections = -1.780 eV per atom
1.0
-3.6999 1.4589 -7.4299
-7.5434 -3.3596 -1.6826
-6.9071 5.1078 -0.3369
Ho Se La Na
4 8 1 1
direct
0.0051 0.4853 0.5045
0.0051 0.0051 0.5045
0.6267 0.6267 0.1198
0.4853 0.0051 0.5045
0.2391 0.2391 0.2827
0.2474 0.7786 0.7265
0.7501 0.2308 0.2690
0.2474 0.2474 0.7265
0.7786 0.2474 0.7265
0.7584 0.7584 0.7249
0.7501 0.7501 0.2690
0.2308 0.7501 0.2690
0.0037 0.0037 0.9888
0.3721 0.3721 0.8836

Entry 9:
NaLaHoSe3 (PBE, relaxed); space-group type = P2_1/m; energy = -30.7 eV per formula unit; formation energy without anion corrections = -1.574 eV per atom
1.0
4.1795 0.0000 0.0000
0.0000 8.3935 0.3742
0.0000 -2.8745 8.8010
Se Na Ho La
6 2 2 2
direct
0.7500 0.9042 0.1225
0.2500 0.7395 0.5016
0.2500 0.5567 0.8333
0.7500 0.2605 0.4984
0.2500 0.0958 0.8775
0.7500 0.4433 0.1667
0.2500 0.0965 0.5844
0.7500 0.9035 0.4156
0.2500 0.6691 0.1529
0.7500 0.3309 0.8471
0.7500 0.7940 0.7710
0.2500 0.2060 0.2290

Entry 10:
NaLa3Ho3Se8 (PBE, relaxed); space-group type = R-3m; energy = -85.4 eV per formula unit; formation energy without anion corrections = -1.848 eV per atom
1.0
-6.5019 -4.1776 3.0283
5.2118 -3.7027 -5.2936
2.5276 1.7168 7.7953
Se La Ho Na
8 3 3 1
direct
0.7438 0.4877 0.7312
0.2521 0.5042 0.7396
0.7358 0.9877 0.7401
0.2519 0.9877 0.7401
0.7479 0.4958 0.2604
0.7481 0.0123 0.2599
0.2642 0.0123 0.2599
0.2562 0.5123 0.2688
0.0000 0.5000 0.0000
0.5000 0.5000 0.0000
0.0000 0.0000 0.0000
0.5000 0.5000 0.5000
0.0000 0.5000 0.5000
0.5000 0.0000 0.5000
0.0000 0.0000 0.5000

Entry 11:
NaLaHoSn (PBE, relaxed); space-group type = F-43m; energy = -16.0 eV per formula unit; calculated formation energy = -0.296 eV per atom
1.0
5.4579 0.0000 0.0000
2.7289 4.7267 0.0000
2.7289 1.5756 4.4563
Sn Ho La Na
1 1 1 1
direct
0.0000 0.0000 0.0000
0.7500 0.7500 0.7500
0.2500 0.2500 0.2500
0.5000 0.5000 0.5000

Entry 12:
Na3La2HoTe6 (PBE, relaxed); space-group type = C2/m; energy = -53.7 eV per formula unit; formation energy without anion corrections = -1.371 eV per atom
1.0
-2.1611 -7.5180 -1.2189
5.9055 3.1577 -4.2227
3.6867 -0.8077 7.0302
Te La Na Ho
6 2 3 1
direct
0.7582 0.7582 0.2373
0.2418 0.2418 0.7627
0.4009 0.0792 0.2380
0.0792 0.4009 0.2380
0.5991 0.9208 0.7620
0.9208 0.5991 0.7620
0.6663 0.3337 0.0000
0.3337 0.6663 0.0000
0.1692 0.8308 0.5000
0.5000 0.5000 0.5000
0.8308 0.1692 0.5000
0.0000 0.0000 0.0000

Look up the energy of the seventh one.
-39.9 eV per formula unit